Compound: Th2Ga4Ir5
Source: the Alexandria database
Functional: PBE-GGA
Structure: relaxed

## Properties
Calculated formation energy in eV per atom: -0.6627
V in Å³/cell: 206.5
Energy in eV/atom: -7.140

Geometry as POSCAR:
```
Th2Ga4Ir5
1.0
0.000 4.765 7.592
2.854 0.000 7.592
2.854 4.765 0.000
Th Ga Ir
2 4 5
Cartesian
2.854 4.765 1.883
2.854 4.765 13.301
2.854 3.278 5.611
2.854 3.278 9.574
2.854 6.253 5.611
2.854 6.253 9.574
1.427 2.383 0.000
1.427 2.383 3.796
1.427 2.383 7.592
2.854 4.765 7.592
4.280 7.148 11.388
```

Compound: Ca4Ta2O9
Source: the Alexandria database
Functional: PBE-GGA
Structure: relaxed

## Properties
Raw formation energy in eV per atom: -3.03
V in Å³/cell: 836.7
Excess energy over the best structure of this formula in the dataset in kJ/mol of formula units: 61
Energy in eV/atom: -8.115

Geometry as POSCAR:
```
Ca4Ta2O9
1.0
9.863 0.000 0.000
0.000 5.693 0.000
0.000 0.000 14.901
Ca Ta O
16 8 36
Cartesian
1.622 5.691 3.040
1.622 0.002 10.491
1.614 0.029 7.258
1.614 5.665 14.708
3.317 2.818 14.708
3.309 2.844 3.040
3.309 2.849 10.491
3.317 2.875 7.258
6.546 2.818 7.644
6.553 2.844 4.411
6.553 2.849 11.861
6.546 2.875 0.193
8.241 5.691 4.411
8.241 0.002 11.861
8.248 0.029 0.193
8.248 5.665 7.644
0.041 2.834 5.265
0.041 2.860 12.715
4.891 0.013 12.715
4.891 5.680 5.265
4.972 0.013 9.637
4.972 5.680 2.186
9.822 2.834 2.186
9.822 2.860 9.637
0.000 1.386 11.176
0.000 4.307 3.725
0.142 1.078 1.380
0.142 4.615 8.831
1.295 2.097 3.783
1.295 3.597 11.233
1.442 2.035 13.672
1.442 3.658 6.221
1.555 1.929 8.920
1.555 3.764 1.469
3.377 0.917 1.469
3.377 4.776 8.920
3.489 0.812 6.221
3.489 4.881 13.672
3.636 0.750 11.233
3.636 4.943 3.783
4.789 1.769 8.831
4.789 3.925 1.380
4.931 1.461 3.725
4.931 4.232 11.176
5.074 1.769 13.521
5.074 3.925 6.070
6.226 0.750 11.119
6.226 4.943 3.668
6.374 0.812 1.229
6.374 4.881 8.680
6.486 0.917 5.981
6.486 4.776 13.432
8.308 1.929 13.432
8.308 3.764 5.981
8.421 2.035 8.680
8.421 3.658 1.229
8.568 2.097 3.668
8.568 3.597 11.119
9.721 1.078 6.070
9.721 4.615 13.521
```

Compound: CaPm8Sm6
Source: the Alexandria database
Functional: PBE-GGA
Structure: relaxed

## Properties
Calculated formation energy in eV per atom: 0.1591
V in Å³/cell: 514.2
Energy in eV/atom: -4.396

Geometry as POSCAR:
```
CaPm8Sm6
1.0
4.926 2.844 6.118
-4.926 2.844 6.118
0.000 -5.688 6.118
Ca Pm Sm
1 8 6
Cartesian
0.000 0.000 0.000
-1.617 -3.667 7.925
-3.984 -0.433 10.430
0.000 0.000 4.308
-2.367 3.234 7.926
2.367 -3.234 10.430
0.000 0.000 14.047
3.984 0.433 7.925
1.617 3.667 10.430
-2.207 -0.203 7.479
-0.928 -2.013 10.876
1.279 -1.810 7.479
-1.279 1.810 10.876
0.928 2.013 7.479
2.207 0.203 10.876
```

Compound: PrNd3S
Source: the Alexandria database
Functional: PBE-GGA
Structure: relaxed

## Properties
Raw formation energy in eV per atom: -0.68
V in Å³/cell: 169.4
Energy in eV/atom: -5.322

Geometry as POSCAR:
```
PrNd3S
1.0
5.533 0.000 0.000
0.000 5.533 0.000
0.000 0.000 5.533
Pr Nd S
1 3 1
Cartesian
0.000 0.000 0.000
0.000 2.766 2.766
2.766 0.000 2.766
2.766 2.766 0.000
2.766 2.766 2.766
```

Compound: CrAsPb
Source: the Alexandria database
Functional: PBE-GGA
Structure: relaxed

## Properties
Calculated formation energy in eV per atom: 0.0560
V in Å³/cell: 131.7
Excess energy over the best structure of this formula in the dataset in kJ/mol of formula units: 0
Energy in eV/atom: -5.938

Geometry as POSCAR:
```
CrAsPb
1.0
4.153 0.000 0.000
0.000 4.153 0.000
0.000 0.000 7.636
Cr As Pb
2 2 2
Cartesian
1.038 3.115 0.000
3.115 1.038 0.000
1.038 1.038 1.346
3.115 3.115 6.290
1.038 1.038 5.093
3.115 3.115 2.543
```

Compound: Zr4IrBr
Source: the Alexandria database
Functional: PBE-GGA
Structure: relaxed

## Properties
Raw formation energy in eV per atom: 0.51
V in Å³/cell: 128.4
Energy in eV/atom: -6.943

Geometry as POSCAR:
```
Zr4IrBr
1.0
0.000 4.004 4.004
4.004 0.000 4.004
4.004 4.004 0.000
Zr Ir Br
4 1 1
Cartesian
3.015 3.015 3.015
4.993 4.993 3.015
4.993 3.015 4.993
3.015 4.993 4.993
6.006 6.006 6.006
0.000 0.000 0.000
```